# 1
Material: Pm2YHg2
Method: DFT, PBE
State: relaxed

Computed properties:
Electronic total energy: -37.0 eV per cell
V: 28.4 A^3/atom
Calculated density: 9.12 Mg/m³

a b c (Å): 3.7869 5.3622 14.1107
angles (deg): 90.00 97.70 90.00
Closest atoms and distances in Å follow each position.
Fractional positions:
Pm: 0.0461 0.7500 0.0905  8 Hg 3.29-3.35
Pm: 0.9539 0.2500 0.9095  8 Hg 3.29-3.35
Pm: 0.2333 0.7500 0.4682  2 Hg 3.21, 4 Pm 3.40
Pm: 0.7667 0.2500 0.5318  2 Hg 3.21, 4 Pm 3.40
Y: 0.8531 0.7500 0.7078  6 Hg 3.21-3.29
Y: 0.1469 0.2500 0.2922  6 Hg 3.21-3.29
Hg: 0.6412 0.7500 0.2827  4 Pm 3.21-3.29, 4 Y 3.28-3.29
Hg: 0.3588 0.2500 0.7173  4 Pm 3.21-3.29, 4 Y 3.28-3.29
Hg: 0.4459 0.7500 0.8935  2 Y 3.21, 6 Pm 3.29-3.35
Hg: 0.5541 0.2500 0.1065  2 Y 3.21, 6 Pm 3.29-3.35

=====

# 2
Material: LaHoPb2
Method: DFT, PBE
State: relaxed

Computed properties:
Electronic total energy: -18.8 eV per cell
V: 30.0 A^3/atom
Calculated density: 9.93 Mg/m³

a b c (Å): 4.1143 4.1143 7.0925
angles (deg): 90.00 90.00 90.00
Closest atoms and distances in Å follow each position.
Fractional positions:
Pb: 0.0000 0.0000 0.7283  1 Pb 3.24, 4 Ho 3.33, 4 La 3.49
Pb: 0.0000 0.0000 0.2717  1 Pb 3.24, 4 Ho 3.33, 4 La 3.49
Ho: 0.5000 0.5000 0.5000  8 Pb 3.33, 2 La 3.55
La: 0.5000 0.5000 0.0000  8 Pb 3.49, 2 Ho 3.55

=====

# 3
Material: TbSm2Tc2C4
Method: DFT, PBE
State: relaxed

Computed properties:
Electronic total energy: -72.0 eV per cell
V: 15.4 A^3/atom
Calculated density: 8.45 Mg/m³

a b c (Å): 3.5186 7.0052 6.1348
angles (deg): 108.58 90.00 104.55
Closest atoms and distances in Å follow each position.
Fractional positions:
Tb: 0.0000 0.0000 0.0000  4 C 2.51
Sm: 0.8660 0.7320 0.4677  5 C 2.63-2.75
Sm: 0.1340 0.2680 0.5323  5 C 2.63-2.75
Tc: 0.3209 0.6419 0.0061  4 C 1.95-2.15
Tc: 0.6791 0.3581 0.9939  4 C 1.95-2.15
C: 0.7795 0.5590 0.7942  3 Tc 2.11-2.15
C: 0.2205 0.4410 0.2058  3 Tc 2.11-2.15
C: 0.4567 0.9135 0.2471  1 Tc 1.95
C: 0.5433 0.0865 0.7529  1 Tc 1.95

=====

# 4
Material: TlAgPb
Method: DFT, PBE
State: relaxed

Computed properties:
Electronic total energy: -17.5 eV per cell
V: 26.3 A^3/atom
Calculated density: 10.95 Mg/m³

a b c (Å): 7.3109 5.9601 5.9615
angles (deg): 103.50 52.08 127.81
Closest atoms and distances in Å follow each position.
Fractional positions:
Pb: 0.0062 0.7941 0.8480  4 Ag 3.14-3.15, 3 Tl 3.26-3.50
Pb: 0.2032 0.2944 0.3483  4 Ag 3.14-3.15, 3 Tl 3.26-3.51
Tl: 0.6963 0.1114 0.1638  4 Ag 3.12-3.13, 1 Pb 3.26
Tl: 0.5143 0.6112 0.6638  4 Ag 3.11-3.13, 1 Pb 3.26
Ag: 0.6046 0.1991 0.7524  2 Ag 2.92, 4 Tl 3.12-3.13, 4 Pb 3.14-3.15
Ag: 0.1054 0.6989 0.2521  2 Ag 2.92, 4 Tl 3.11-3.13, 4 Pb 3.14-3.15

=====

# 5
Material: Ba4H9Br
Method: DFT, PBE
State: relaxed

Computed properties:
Electronic total energy: -91.2 eV per cell
V: 17.7 A^3/atom
Calculated density: 4.28 Mg/m³

a b c (Å): 8.2946 8.2946 9.2804
angles (deg): 116.54 116.54 90.00
Closest atoms and distances in Å follow each position.
Fractional positions:
Ba: 0.2954 0.7954 0.2600  5 H 2.56-2.69
Ba: 0.9646 0.4646 0.2600  5 H 2.56-2.69
Ba: 0.5354 0.7046 0.7400  5 H 2.56-2.69
Ba: 0.2046 0.0354 0.7400  5 H 2.56-2.69
Ba: 0.7046 0.2046 0.7400  5 H 2.56-2.69
Ba: 0.0354 0.5354 0.7400  5 H 2.56-2.69
Ba: 0.7954 0.9646 0.2600  5 H 2.56-2.69
Ba: 0.4646 0.2954 0.2600  5 H 2.56-2.69
H: 0.0361 0.1127 0.0000  2 H 1.39
H: 0.9639 0.8873 0.0000  2 H 1.39
H: 0.5361 0.3873 0.0000  2 H 1.39
H: 0.4639 0.6127 0.0000  2 H 1.39
H: 0.3873 0.4639 0.0000  2 H 1.39
H: 0.6127 0.5361 0.0000  2 H 1.39
H: 0.1127 0.9639 0.0000  2 H 1.39
H: 0.8873 0.0361 0.0000  2 H 1.39
H: 0.0000 0.5000 0.0000  4 Ba 2.69
H: 0.5000 0.0000 0.0000  4 Ba 2.69
H: 0.8165 0.3165 0.3758  4 Ba 2.56-2.65, 2 H 2.78
H: 0.5593 0.0593 0.3758  4 Ba 2.56-2.65, 2 H 2.78
H: 0.9407 0.1835 0.6242  4 Ba 2.56-2.65, 2 H 2.78
H: 0.6835 0.4407 0.6242  4 Ba 2.56-2.65, 2 H 2.78
H: 0.1835 0.6835 0.6242  4 Ba 2.56-2.65, 2 H 2.78
H: 0.4407 0.9407 0.6242  4 Ba 2.56-2.65, 2 H 2.78
H: 0.3165 0.5593 0.3758  4 Ba 2.56-2.65, 2 H 2.78
H: 0.0593 0.8165 0.3758  4 Ba 2.56-2.65, 2 H 2.78
Br: 0.7500 0.7500 0.5000  16 H 3.38-3.73, 8 Ba 3.54
Br: 0.2500 0.2500 0.5000  16 H 3.38-3.73, 8 Ba 3.54

=====

# 6
Material: Y2CuS
Method: DFT, PBE
State: relaxed

Computed properties:
Electronic total energy: -48.0 eV per cell
Formation energy without anion corrections: -711.6 meV per atom
V: 24.7 A^3/atom
Calculated density: 4.60 Mg/m³

a b c (Å): 7.1743 7.1743 6.3574
angles (deg): 55.65 55.65 90.00
Closest atoms and distances in Å follow each position.
Fractional positions:
Y: 0.6217 0.1250 0.2500  2 S 2.70, 2 Cu 2.73
Y: 0.1283 0.6250 0.2500  2 S 2.70, 2 Cu 2.73
Y: 0.3750 0.3783 0.7500  2 S 2.70, 2 Cu 2.73
Y: 0.8750 0.8717 0.7500  2 S 2.70, 2 Cu 2.73
S: 0.5000 0.5000 0.0000  4 Y 2.70
S: 0.2500 0.7500 0.5000  4 Y 2.70
Cu: 0.0000 0.0000 0.0000  4 Y 2.73
Cu: 0.7500 0.2500 0.5000  4 Y 2.73

=====

# 7
Material: Tl3In7Bi4
Method: DFT, PBE
State: relaxed

Computed properties:
Electronic total energy: -41.7 eV per cell
V: 31.4 A^3/atom
Calculated density: 8.52 Mg/m³

a b c (Å): 9.5448 9.5448 11.6506
angles (deg): 53.21 53.21 31.92
Closest atoms and distances in Å follow each position.
Fractional positions:
Tl: 0.7262 0.7262 0.7708  6 In 3.46-3.84, 5 Bi 3.70-3.77
Tl: 0.2738 0.2738 0.2292  6 In 3.46-3.84, 5 Bi 3.70-3.77
Tl: 0.0000 0.0000 0.5000  4 In 3.55, 6 Bi 3.62-3.93, 2 Tl 3.93
In: 0.6321 0.6321 0.4956  4 Bi 3.17-3.24, 1 In 3.21, 2 Tl 3.55
In: 0.4885 0.4885 0.1542  4 In 3.11-3.35, 3 Bi 3.15-3.45, 1 Tl 3.46
In: 0.1557 0.1557 0.0408  1 In 3.18, 3 Bi 3.19-3.24
In: 0.3679 0.3679 0.5044  4 Bi 3.17-3.24, 1 In 3.21, 2 Tl 3.55
In: 0.8443 0.8443 0.9592  1 In 3.18, 3 Bi 3.19-3.24
In: 0.0000 0.0000 0.0000  6 In 3.11-3.18, 2 Bi 3.39
In: 0.5115 0.5115 0.8458  4 In 3.11-3.35, 3 Bi 3.15-3.45, 1 Tl 3.46
Bi: 0.3733 0.3733 0.7714  5 In 3.15-3.24
Bi: 0.6267 0.6267 0.2286  5 In 3.15-3.24
Bi: 0.1535 0.1535 0.6283  6 In 3.19-3.45
Bi: 0.8465 0.8465 0.3717  6 In 3.19-3.45

=====

# 8
Material: Ba5I4N
Method: DFT, PBE
State: relaxed

Computed properties:
Electronic total energy: -35.6 eV per cell
Formation energy without anion corrections: -1147.2 meV per atom
V: 40.2 A^3/atom
Calculated density: 4.99 Mg/m³

a b c (Å): 6.9560 8.3594 8.3594
angles (deg): 80.03 65.41 65.41
Closest atoms and distances in Å follow each position.
Fractional positions:
Ba: 0.9108 0.3308 0.8532  1 N 2.78
Ba: 0.2415 0.8532 0.6692  1 N 2.78
Ba: 0.7639 0.1468 0.3308  1 N 2.78
Ba: 0.0947 0.6692 0.1468  1 N 2.78
Ba: 0.4396 0.0000 0.0000  1 N 2.65
I: 0.4179 0.3956 0.7687  6 Ba 3.51-3.83
I: 0.8136 0.7687 0.6044  6 Ba 3.51-3.83
I: 0.1867 0.2313 0.3956  6 Ba 3.51-3.83
I: 0.5823 0.6044 0.2313  6 Ba 3.51-3.83
N: 0.0593 0.0000 0.0000  5 Ba 2.65-2.78

=====

# 9
Material: Al2ZnPb
Method: DFT, PBE
State: relaxed

Computed properties:
Electronic total energy: -11.2 eV per cell
V: 21.5 A^3/atom
Calculated density: 6.29 Mg/m³

a b c (Å): 4.8081 4.8081 3.7273
angles (deg): 90.00 90.00 90.00
Closest atoms and distances in Å follow each position.
Fractional positions:
Pb: 0.5000 0.0000 0.5000  8 Al 3.04, 4 Zn 3.40
Zn: 0.0000 0.5000 0.5000  8 Al 3.04, 4 Pb 3.40
Al: 0.0000 0.0000 0.0000  4 Pb 3.04, 4 Zn 3.04, 4 Al 3.40
Al: 0.5000 0.5000 0.0000  4 Pb 3.04, 4 Zn 3.04, 4 Al 3.40

=====

# 10
Material: Ca2LaIrO6
Method: DFT, PBE
State: relaxed

Computed properties:
Electronic total energy: -140.9 eV per cell
Formation energy without anion corrections: -2290.8 meV per atom
V: 14.0 A^3/atom
Calculated density: 6.01 Mg/m³

a b c (Å): 5.6915 5.9687 8.2476
angles (deg): 90.00 90.68 90.00
Closest atoms and distances in Å follow each position.
Fractional positions:
Ca: 0.0188 0.9453 0.2560  5 O 2.36-2.60
Ca: 0.5188 0.5547 0.7560  5 O 2.36-2.60
Ca: 0.9812 0.0547 0.7440  5 O 2.36-2.60
Ca: 0.4812 0.4453 0.2440  5 O 2.36-2.60
La: 0.5000 0.0000 0.0000  6 O 2.33-2.41
La: 0.0000 0.5000 0.5000  6 O 2.33-2.41
Ir: 0.5000 0.0000 0.5000  6 O 1.99-2.01
Ir: 0.0000 0.5000 0.0000  6 O 1.99-2.01
O: 0.2840 0.6790 0.0561  1 Ir 1.99
O: 0.7840 0.8210 0.5561  1 Ir 1.99
O: 0.7160 0.3210 0.9439  1 Ir 1.99
O: 0.2160 0.1790 0.4439  1 Ir 1.99
O: 0.3316 0.7243 0.4238  1 Ir 2.00
O: 0.8316 0.7757 0.9238  1 Ir 2.00
O: 0.6684 0.2757 0.5762  1 Ir 2.00
O: 0.1684 0.2243 0.0762  1 Ir 2.00
O: 0.8768 0.5625 0.2231  1 Ir 2.01
O: 0.3768 0.9375 0.7231  1 Ir 2.01
O: 0.1232 0.4375 0.7769  1 Ir 2.01
O: 0.6232 0.0625 0.2769  1 Ir 2.01

=====

# 11
Material: ScInHg2
Method: DFT, PBE
State: relaxed

Computed properties:
Electronic total energy: -10.2 eV per cell
V: 24.1 A^3/atom
Calculated density: 9.68 Mg/m³

a b c (Å): 5.4068 6.2300 3.3195
angles (deg): 74.51 90.09 115.74
Closest atoms and distances in Å follow each position.
Fractional positions:
Hg: 0.0000 0.0000 0.0000  2 Sc 3.11, 2 In 3.11, 6 Hg 3.17-3.32
Hg: 0.5000 0.0000 0.5000  2 In 3.11, 2 Sc 3.11, 6 Hg 3.17-3.32
In: 0.0000 0.5000 0.5000  4 Hg 3.11, 4 Sc 3.17, 2 In 3.32
Sc: 0.5000 0.5000 0.0000  4 Hg 3.11, 4 In 3.17, 2 Sc 3.32

=====

# 12
Material: YSc2Ta
Method: DFT, PBE
State: relaxed

Computed properties:
Electronic total energy: -29.0 eV per cell
V: 24.0 A^3/atom
Calculated density: 6.22 Mg/m³

a b c (Å): 11.3676 11.3676 11.3676
angles (deg): 15.90 15.90 15.90
Closest atoms and distances in Å follow each position.
Fractional positions:
Y: 0.5000 0.5000 0.5000  6 Y 3.14, 6 Sc 3.36
Sc: 0.9174 0.9174 0.9174  1 Ta 2.78
Sc: 0.0826 0.0826 0.0826  1 Ta 2.78
Ta: 0.0000 0.0000 0.0000  2 Sc 2.78